(1)
A relaxed structure of AgPRh. Source: Alexandria, functional PBEsol.

a = 3.024 Å, b = 3.024 Å, c = 9.673 Å
α = 90.00°, β = 90.00°, γ = 90.00°
Space group I4mm (No. 107)
Unique sites:
Ag (0.000, 0.000, 0.000)
P (0.000, 0.000, 0.694)
Rh (0.000, 0.000, 0.297)

Magnetization (μB per atom): 0.00
Offset from the most stable computed form (eV per formula unit): 0.00
ΔH_f (0 K) (eV/atom): -0.22
Uncorrected energy (eV per atom): -5.966
DOS at the Fermi energy (states/eV per cell): 2.66

(2)
A relaxed structure of AgP2Ru2. Source: Alexandria, functional PBEsol.

a = 3.593 Å, b = 3.593 Å, c = 11.221 Å
α = 90.00°, β = 90.00°, γ = 90.00°
Space group I4/mmm (No. 139)
Unique sites:
Ag (0.000, 0.000, 0.000)
P (0.000, 0.500, 0.250)
Ru (0.000, 0.000, 0.377)

Magnetization (μB per atom): 0.00
ΔH_f (0 K) (eV/atom): -0.22
Uncorrected energy (eV per atom): -7.264
DOS at the Fermi energy (states/eV per cell): 2.65

(3)
A relaxed structure of AgP2Ru. Source: Alexandria, functional PBEsol.

a = 4.160 Å, b = 4.160 Å, c = 6.419 Å
α = 90.00°, β = 90.00°, γ = 90.00°
Space group I4/mmm (No. 139)
Unique sites:
Ag (0.000, 0.000, 0.000)
P (0.000, 0.500, 0.250)
Ru (0.000, 0.000, 0.500)

Magnetization (μB per atom): 0.00
Offset from the most stable computed form (eV per formula unit): 0.00
ΔH_f (0 K) (eV/atom): 0.23
Uncorrected energy (eV per atom): -6.037
DOS at the Fermi energy (states/eV per cell): 5.75

(4)
A relaxed structure of AgPRu. Source: Alexandria, functional PBEsol.

a = 3.8655 Å, b = 3.8655 Å, c = 3.4563 Å
α = 90.00°, β = 90.00°, γ = 120.00°
Space group P3m1 (No. 156)
Unique sites:
Ag (0.0000, 0.0000, 0.0000)
P (0.6667, 0.3333, 0.5505)
Ru (0.3333, 0.6667, 0.4894)

Magnetization (μB per atom): 0.00
ΔH_f (0 K) (eV/atom): -0.06
Uncorrected energy (eV per atom): -6.486
DOS at the Fermi energy (states/eV per cell): 1.40